The following is a DFT calculation (GGA-PBE) of a relaxed LiZnSiSn crystal.

The structure belongs to space group F-43m (No. 216); the cell edges are 6.7412, 6.7412 and 6.7412 Å and the angles 90.00°, 90.00° and 90.00°. The asymmetric unit holds Li at (0.0000, 0.0000, 0.0000), Zn at (0.2500, 0.2500, 0.7500), Si at (0.2500, 0.2500, 0.2500) and Sn at (0.0000, 0.0000, 0.5000).

The value obtained for the energy above the lowest structure with this stoichiometry is 0.12 eV per formula unit. The calculation puts the total energy at -2.992 eV/atom.